1.
This record from Alexandria describes crystalline AcDy7Ho3 at its relaxed geometry. The functional is PBE.

Values from the calculation:
- ΔE_f: 0.2164 eV per atom
- V: 34.30 Å³/atom
- N(E_F): 17.6 states/eV/f.u.
- Energy above the lowest structure with this stoichiometry: 1.61 kcal/mol of atoms
- Space-group type: No. 156

Cell and atoms, written as extended XYZ:
```
11
Lattice="7.0962 0.0000 0.0000 -3.5481 6.1455 0.0000 0.0000 0.0000 8.6517" Properties=species:S:1:pos:R:3 pbc="T T T"
Ac 0.0000 0.0000 0.0000
Dy -1.7597 3.0811 8.6331
Dy 1.7720 1.0231 2.8863
Dy 0.0000 4.0970 2.8446
Dy 1.7596 3.0811 8.6331
Dy 0.0000 6.1289 8.6331
Dy 5.3242 1.0231 2.8863
Dy 3.5481 4.0994 2.8863
Ho 0.0000 2.0726 5.7021
Ho -1.7532 5.1092 5.7021
Ho 1.7531 5.1092 5.7021
```


2.
This record from Alexandria describes crystalline KIn9Co2 at its relaxed geometry. The functional is PBE.

Values from the calculation:
- ΔE_f: -0.0721 eV per atom
- V: 24.12 Å³/atom
- N(E_F): 2.9 states/eV/f.u.
- Space-group type: No. 191

Cell and atoms, written as extended XYZ:
```
12
Lattice="8.8430 0.0000 0.0000 -4.4215 7.6582 0.0000 0.0000 0.0000 4.2745" Properties=species:S:1:pos:R:3 pbc="T T T"
K 0.0000 0.0000 0.0000
In -2.2107 3.8291 0.0000
In 0.0000 3.2064 2.1373
In -1.6447 6.0550 2.1373
In 2.7768 1.6032 2.1373
In 4.4215 0.0000 0.0000
In 2.2107 3.8291 0.0000
In 1.6447 6.0550 2.1373
In 6.0662 1.6032 2.1373
In 4.4215 4.4519 2.1373
Co 0.0000 5.1055 0.0000
Co 4.4215 2.5527 0.0000
```


Question: What is the formula in the first record?
Answer: AcDy7Ho3


Question: Which formula does entry 1 have?
Answer: AcDy7Ho3


Question: The lowest N(E_F) belongs to which entry?
Answer: KIn9Co2


Question: Among the records above, which one has the lowest ΔE_f?
Answer: KIn9Co2